*A*
Entry from Alexandria via LeMat-Bulk: a geometry-optimized CdGaPO2 structure (PBE-GGA).

The calculation puts the density of states at the Fermi level at 4.74 states/eV/f.u.

The space group is P4/mmm (No. 123) and the conventional cell measures 4.075, 4.075 and 5.364 Å, with angles of 90.00, 90.00 and 90.00 degrees. The inequivalent atoms are Cd at (0.000, 0.000, 0.000), Ga at (0.500, 0.500, 0.500), P at (0.000, 0.000, 0.500) and O at (0.000, 0.500, 0.000).


*B*
Entry from Alexandria via LeMat-Bulk: a geometry-optimized CdGaPO2 structure (PBE-GGA).

The calculation puts the density of states at the Fermi level at 3.15 states/eV/f.u.

The space group is P4/mmm (No. 123) and the conventional cell measures 3.791, 3.791 and 5.427 Å, with angles of 90.00, 90.00 and 90.00 degrees. The inequivalent atoms are Cd at (0.000, 0.000, 0.000), Ga at (0.500, 0.500, 0.500), P at (0.500, 0.500, 0.000) and O at (0.000, 0.500, 0.500).


Most stable: *B* (next structure +690 meV per atom)


*A*
Entry from Alexandria via LeMat-Bulk: a geometry-optimized CdGa3P structure (PBE-GGA).

The calculation puts the density of states at the Fermi level at 1.87 states/eV/f.u.

The space group is Pm-3m (No. 221) and the conventional cell measures 5.066, 5.066 and 5.066 Å, with angles of 90.00, 90.00 and 90.00 degrees. The inequivalent atoms are Cd at (0.000, 0.000, 0.000), Ga at (0.000, 0.000, 0.500) and P at (0.500, 0.500, 0.500).


*B*
Entry from Alexandria via LeMat-Bulk: a geometry-optimized CdGa3P structure (PBE-GGA).

The calculation puts the density of states at the Fermi level at 1.90 states/eV/f.u.

The space group is Pm-3m (No. 221) and the conventional cell measures 4.860, 4.860 and 4.860 Å, with angles of 90.00, 90.00 and 90.00 degrees. The inequivalent atoms are Cd at (0.000, 0.000, 0.000), Ga at (0.000, 0.500, 0.500) and P at (0.500, 0.500, 0.500).


Most stable: *B* (next structure +469 meV per atom)


*A*
Entry from Alexandria via LeMat-Bulk: a geometry-optimized Cd2GaP2 structure (PBE-GGA).

The calculation puts the density of states at the Fermi level at 2.79 states/eV/f.u.

The space group is P4/mbm (No. 127) and the conventional cell measures 7.207, 7.207 and 3.955 Å, with angles of 90.00, 90.00 and 90.00 degrees. The inequivalent atoms are Cd at (0.139, 0.361, 0.000), Ga at (0.000, 0.000, 0.500) and P at (0.187, 0.687, 0.500).


*B*
Entry from Alexandria via LeMat-Bulk: a geometry-optimized Cd2GaP2 structure (PBE-GGA).

The calculation puts the density of states at the Fermi level at 1.84 states/eV/f.u.

The space group is I4/mmm (No. 139) and the conventional cell measures 3.384, 3.384 and 17.582 Å, with angles of 90.00, 90.00 and 90.00 degrees. The inequivalent atoms are Cd at (0.000, 0.000, 0.104), Ga at (0.000, 0.000, 0.500) and P at (0.000, 0.500, 0.250).


Most stable: *B* (next structure +50 meV per atom)


*A*
Entry from Alexandria via LeMat-Bulk: a geometry-optimized CdGa2Pb2 structure (PBE-GGA).

The calculation puts the density of states at the Fermi level at 2.23 states/eV/f.u.

The space group is P4/mbm (No. 127) and the conventional cell measures 8.984, 8.984 and 3.352 Å, with angles of 90.00, 90.00 and 90.00 degrees. The inequivalent atoms are Cd at (0.000, 0.000, 0.000), Ga at (0.109, 0.391, 0.500) and Pb at (0.186, 0.686, 0.000).


*B*
Entry from Alexandria via LeMat-Bulk: a geometry-optimized CdGa2Pb2 structure (PBE-GGA).

The calculation puts the density of states at the Fermi level at 2.59 states/eV/f.u.

The space group is I4/mmm (No. 139) and the conventional cell measures 5.036, 5.036 and 11.118 Å, with angles of 90.00, 90.00 and 90.00 degrees. The inequivalent atoms are Cd at (0.000, 0.000, 0.000), Ga at (0.000, 0.000, 0.390) and Pb at (0.000, 0.500, 0.250).


*C*
Entry from Alexandria via LeMat-Bulk: a geometry-optimized CdGa2Pb2 structure (PBE-GGA).

The calculation puts the density of states at the Fermi level at 2.46 states/eV/f.u.

The space group is I4/mmm (No. 139) and the conventional cell measures 3.827, 3.827 and 17.895 Å, with angles of 90.00, 90.00 and 90.00 degrees. The inequivalent atoms are Cd at (0.000, 0.000, 0.000), Ga at (0.000, 0.500, 0.250) and Pb at (0.000, 0.000, 0.390).


*D*
Entry from Alexandria via LeMat-Bulk: a geometry-optimized CdGa2Pb2 structure (PBE-GGA).

The calculation puts the density of states at the Fermi level at 1.37 states/eV/f.u.

The space group is P4/mbm (No. 127) and the conventional cell measures 7.218, 7.218 and 4.887 Å, with angles of 90.00, 90.00 and 90.00 degrees. The inequivalent atoms are Cd at (0.000, 0.000, 0.000), Ga at (0.130, 0.370, 0.000) and Pb at (0.176, 0.676, 0.500).


Most stable: *D* (next structure +21 meV per atom)


*A*
Entry from Alexandria via LeMat-Bulk: a geometry-optimized CdGaPb3 structure (PBE-GGA).

The calculation puts the density of states at the Fermi level at 4.30 states/eV/f.u.

The space group is Pm-3m (No. 221) and the conventional cell measures 5.536, 5.536 and 5.536 Å, with angles of 90.00, 90.00 and 90.00 degrees. The inequivalent atoms are Cd at (0.000, 0.000, 0.000), Ga at (0.500, 0.500, 0.500) and Pb at (0.000, 0.500, 0.500).


*B*
Entry from Alexandria via LeMat-Bulk: a geometry-optimized CdGaPb3 structure (PBE-GGA).

The calculation puts the density of states at the Fermi level at 3.79 states/eV/f.u.

The space group is Pm-3m (No. 221) and the conventional cell measures 5.689, 5.689 and 5.689 Å, with angles of 90.00, 90.00 and 90.00 degrees. The inequivalent atoms are Cd at (0.000, 0.000, 0.000), Ga at (0.500, 0.500, 0.500) and Pb at (0.000, 0.000, 0.500).


*C*
Entry from Alexandria via LeMat-Bulk: a geometry-optimized CdGaPb3 structure (PBE-GGA).

The calculation puts the density of states at the Fermi level at 2.40 states/eV/f.u.

The space group is P2_1/c (No. 14) and the conventional cell measures 8.536, 6.610 and 10.407 Å, with angles of 90.00, 107.85 and 90.00 degrees. The inequivalent atoms are Cd at (0.061, 0.107, 0.133), Ga at (0.311, 0.739, 0.448), Pb at (0.127, 0.600, 0.148), Pb at (0.287, 0.246, 0.443) and Pb at (0.451, 0.546, 0.737).


Most stable: *C* (next structure +303 meV per atom)


*A*
Entry from Alexandria via LeMat-Bulk: a geometry-optimized Cd2GaPd2 structure (PBE-GGA).

The calculation puts the density of states at the Fermi level at 1.97 states/eV/f.u.

The space group is Pbcm (No. 57) and the conventional cell measures 10.467, 5.935 and 6.045 Å, with angles of 90.00, 90.00 and 90.00 degrees. The inequivalent atoms are Cd at (0.026, 0.250, 0.000), Cd at (0.310, 0.250, 0.000), Ga at (0.348, 0.750, 0.000), Pd at (0.179, 0.575, 0.250) and Pd at (0.495, 0.006, 0.750).


*B*
Entry from Alexandria via LeMat-Bulk: a geometry-optimized Cd2GaPd2 structure (PBE-GGA).

The calculation puts the density of states at the Fermi level at 1.35 states/eV/f.u.

The space group is P4/mbm (No. 127) and the conventional cell measures 7.973, 7.973 and 2.994 Å, with angles of 90.00, 90.00 and 90.00 degrees. The inequivalent atoms are Cd at (0.159, 0.341, 0.000), Ga at (0.000, 0.000, 0.000) and Pd at (0.136, 0.636, 0.500).


Most stable: *A* (next structure +198 meV per atom)


*A*
Entry from Alexandria via LeMat-Bulk: a geometry-optimized Cd2GaPd2 structure (PBE-GGA).

The calculation puts the density of states at the Fermi level at 1.70 states/eV/f.u.

The space group is P4/mbm (No. 127) and the conventional cell measures 6.597, 6.597 and 4.233 Å, with angles of 90.00, 90.00 and 90.00 degrees. The inequivalent atoms are Cd at (0.157, 0.343, 0.000), Ga at (0.000, 0.000, 0.500) and Pd at (0.151, 0.651, 0.500).


*B*
Entry from Alexandria via LeMat-Bulk: a geometry-optimized Cd2GaPd2 structure (PBE-GGA).

The calculation puts the density of states at the Fermi level at 1.26 states/eV/f.u.

The space group is I4/mmm (No. 139) and the conventional cell measures 3.825, 3.825 and 13.538 Å, with angles of 90.00, 90.00 and 90.00 degrees. The inequivalent atoms are Cd at (0.000, 0.500, 0.250), Ga at (0.000, 0.000, 0.000) and Pd at (0.000, 0.000, 0.404).


Most stable: *A* (next structure +352 meV per atom)


*A*
Entry from Alexandria via LeMat-Bulk: a geometry-optimized CdGaPd4 structure (PBE-GGA).

The calculation puts the density of states at the Fermi level at 3.07 states/eV/f.u.

The space group is Pnma (No. 62) and the conventional cell measures 7.382, 2.953 and 17.657 Å, with angles of 90.00, 90.00 and 90.00 degrees. The inequivalent atoms are Cd at (0.218, 0.250, 0.186), Ga at (0.249, 0.250, 0.950), Pd at (0.032, 0.750, 0.568), Pd at (0.036, 0.750, 0.296), Pd at (0.107, 0.750, 0.056) and Pd at (0.150, 0.750, 0.839).


*B*
Entry from Alexandria via LeMat-Bulk: a geometry-optimized CdGaPd4 structure (PBE-GGA).

The calculation puts the density of states at the Fermi level at 2.01 states/eV/f.u.

The space group is Pmna (No. 53) and the conventional cell measures 4.602, 8.590 and 5.004 Å, with angles of 90.00, 90.00 and 90.00 degrees. The inequivalent atoms are Cd at (0.000, 0.000, 0.000), Ga at (0.000, 0.500, 0.500), Pd at (0.000, 0.189, 0.431) and Pd at (0.000, 0.344, 0.926).


Most stable: *A* (next structure +53 meV per atom)


*A*
Entry from Alexandria via LeMat-Bulk: a geometry-optimized CdGa2Pd7 structure (PBE-GGA).

The calculation puts the density of states at the Fermi level at 4.45 states/eV/f.u.

The space group is Cmmm (No. 65) and the conventional cell measures 7.306, 12.283 and 4.386 Å, with angles of 90.00, 90.00 and 90.00 degrees. The inequivalent atoms are Cd at (0.000, 0.000, 0.000), Ga at (0.000, 0.301, 0.500), Pd at (0.000, 0.219, 0.000), Pd at (0.000, 0.500, 0.500) and Pd at (0.188, 0.118, 0.500).


*B*
Entry from Alexandria via LeMat-Bulk: a geometry-optimized CdGa2Pd7 structure (PBE-GGA).

The calculation puts the density of states at the Fermi level at 6.42 states/eV/f.u.

The space group is I4/mmm (No. 139) and the conventional cell measures 4.125, 4.125 and 19.590 Å, with angles of 90.00, 90.00 and 90.00 degrees. The inequivalent atoms are Cd at (0.000, 0.000, 0.000), Ga at (0.000, 0.000, 0.325), Pd at (0.000, 0.000, 0.500), Pd at (0.000, 0.500, 0.101) and Pd at (0.000, 0.500, 0.250).


Most stable: *B* (next structure +348 meV per atom)


*A*
Entry from Alexandria via LeMat-Bulk: a geometry-optimized CdGaPd5 structure (PBE-GGA).

The calculation puts the density of states at the Fermi level at 2.79 states/eV/f.u.

The space group is C2/c (No. 15) and the conventional cell measures 12.384, 6.838 and 5.592 Å, with angles of 90.00, 103.37 and 90.00 degrees. The inequivalent atoms are Cd at (0.000, 0.200, 0.250), Ga at (0.250, 0.250, 0.000), Pd at (0.000, 0.201, 0.750), Pd at (0.116, 0.492, 0.574) and Pd at (0.187, 0.085, 0.579).


*B*
Entry from Alexandria via LeMat-Bulk: a geometry-optimized CdGaPd5 structure (PBE-GGA).

The calculation puts the density of states at the Fermi level at 5.34 states/eV/f.u.

The space group is P4/mmm (No. 123) and the conventional cell measures 4.111, 4.111 and 6.897 Å, with angles of 90.00, 90.00 and 90.00 degrees. The inequivalent atoms are Cd at (0.000, 0.000, 0.000), Ga at (0.500, 0.500, 0.500), Pd at (0.000, 0.500, 0.287) and Pd at (0.500, 0.500, 0.000).


Most stable: *B* (next structure +26 meV per atom)